# 1
# HfHg2Br8 (PBE-GGA, optimized geometry)
# VASP energy ... -3.00 eV per atom
# Volume ... 969.6 Å³/cell
# ΔE to the lowest computed polymorph ... 0.000 kcal/mol of atoms
# Raw formation energy ... -0.8255 eV/atom
data_HfHg2Br8
_chemical_formula_sum 'Hf2 Hg4 Br16'
_space_group_name_H-M_alt 'C 1 2/m 1'
_space_group_IT_number 12
_space_group_name_Hall '-C 2y'
_cell_length_a 13.3662
_cell_length_b 7.4975
_cell_length_c 10.4538
_cell_angle_alpha 90.00
_cell_angle_beta 112.25
_cell_angle_gamma 90.00
loop_
_atom_site_label
_atom_site_type_symbol
_atom_site_fract_x
_atom_site_fract_y
_atom_site_fract_z
Hf1 Hf 0.0000 0.0000 0.0000
Hg1 Hg 0.1709 0.0000 0.3479
Br1 Br 0.0396 0.0000 0.7617
Br2 Br 0.1463 0.2428 0.1058
Br3 Br 0.1470 0.5000 0.4699

---

# 2
# HfIn2HgBr6 (PBE-GGA, optimized geometry)
# VASP energy ... -3.55 eV per atom
# Volume ... 413.8 Å³/cell
# Raw formation energy ... -0.9689 eV/atom
data_HfIn2HgBr6
_chemical_formula_sum 'Hf1 In2 Hg1 Br6'
_space_group_name_H-M_alt 'P 1'
_space_group_IT_number 1
_space_group_name_Hall 'P 1'
_cell_length_a 7.7683
_cell_length_b 8.0176
_cell_length_c 8.8073
_cell_angle_alpha 91.03
_cell_angle_beta 116.10
_cell_angle_gamma 118.62
loop_
_atom_site_label
_atom_site_type_symbol
_atom_site_fract_x
_atom_site_fract_y
_atom_site_fract_z
Hf1 Hf 0.0000 0.0000 0.0000
In1 In 0.6569 0.8219 0.4709
In2 In 0.6954 0.3540 0.0375
Hg1 Hg 0.9959 0.5037 0.4948
Br1 Br 0.1621 0.9743 0.7969
Br2 Br 0.1691 0.8211 0.1999
Br3 Br 0.3705 0.3478 0.1914
Br4 Br 0.6227 0.6494 0.7897
Br5 Br 0.8096 0.1655 0.7820
Br6 Br 0.8246 0.0294 0.1849

---

# 3
# HfHgIr2Br (PBE-GGA, optimized geometry)
# VASP energy ... -4.09 eV per atom
# Volume ... 131.2 Å³/cell
# Raw formation energy ... 1.8393 eV/atom
data_HfHgIr2Br
_chemical_formula_sum 'Hf1 Hg1 Ir2 Br1'
_space_group_name_H-M_alt 'P 4/m m m'
_space_group_IT_number 123
_space_group_name_Hall '-P 4 2'
_cell_length_a 5.0134
_cell_length_b 5.0134
_cell_length_c 5.2198
_cell_angle_alpha 90.00
_cell_angle_beta 90.00
_cell_angle_gamma 90.00
loop_
_atom_site_label
_atom_site_type_symbol
_atom_site_fract_x
_atom_site_fract_y
_atom_site_fract_z
Hf1 Hf 0.0000 0.0000 0.0000
Hg1 Hg 0.0000 0.0000 0.5000
Ir1 Ir 0.0000 0.5000 0.5000
Br1 Br 0.5000 0.5000 0.0000

---

# 4
# K2HfHg2Br6 (PBE-GGA, optimized geometry)
# VASP energy ... -3.35 eV per atom
# Volume ... 1003.1 Å³/cell
# Raw formation energy ... -1.2751 eV/atom
data_K2HfHg2Br6
_chemical_formula_sum 'K4 Hf2 Hg4 Br12'
_space_group_name_H-M_alt 'C 1 2/m 1'
_space_group_IT_number 12
_space_group_name_Hall '-C 2y'
_cell_length_a 7.9304
_cell_length_b 13.9240
_cell_length_c 9.6155
_cell_angle_alpha 90.00
_cell_angle_beta 109.14
_cell_angle_gamma 90.00
loop_
_atom_site_label
_atom_site_type_symbol
_atom_site_fract_x
_atom_site_fract_y
_atom_site_fract_z
K1 K 0.0000 0.1675 0.0000
Hf1 Hf 0.0000 0.5000 0.0000
Hg1 Hg 0.0000 0.2975 0.5000
Br1 Br 0.2017 0.3668 0.1694
Br2 Br 0.2026 0.5000 0.8308

---

# 5
# NaHfHgBr2 (PBE-GGA, optimized geometry)
# VASP energy ... -2.60 eV per atom
# Volume ... 161.9 Å³/cell
# Raw formation energy ... 0.3876 eV/atom
data_NaHfHgBr2
_chemical_formula_sum 'Na1 Hf1 Hg1 Br2'
_space_group_name_H-M_alt 'P 4/m m m'
_space_group_IT_number 123
_space_group_name_Hall '-P 4 2'
_cell_length_a 5.1437
_cell_length_b 5.1437
_cell_length_c 6.1204
_cell_angle_alpha 90.00
_cell_angle_beta 90.00
_cell_angle_gamma 90.00
loop_
_atom_site_label
_atom_site_type_symbol
_atom_site_fract_x
_atom_site_fract_y
_atom_site_fract_z
Na1 Na 0.0000 0.0000 0.0000
Hf1 Hf 0.0000 0.0000 0.5000
Hg1 Hg 0.5000 0.5000 0.5000
Br1 Br 0.0000 0.5000 0.0000

---

# 6
# HfReHgBr2 (PBE-GGA, optimized geometry)
# VASP energy ... -3.46 eV per atom
# Volume ... 160.9 Å³/cell
# Raw formation energy ... 1.7545 eV/atom
data_HfReHgBr2
_chemical_formula_sum 'Hf1 Re1 Hg1 Br2'
_space_group_name_H-M_alt 'P 4/m m m'
_space_group_IT_number 123
_space_group_name_Hall '-P 4 2'
_cell_length_a 5.2919
_cell_length_b 5.2919
_cell_length_c 5.7448
_cell_angle_alpha 90.00
_cell_angle_beta 90.00
_cell_angle_gamma 90.00
loop_
_atom_site_label
_atom_site_type_symbol
_atom_site_fract_x
_atom_site_fract_y
_atom_site_fract_z
Hf1 Hf 0.0000 0.0000 0.0000
Re1 Re 0.5000 0.5000 0.0000
Hg1 Hg 0.0000 0.0000 0.5000
Br1 Br 0.0000 0.5000 0.5000